(1)
Density functional theory data (GGA-PBEsol) for NiMoH2 after structural relaxation.

Values from the calculation:
The calculation puts the energy at -6.085 eV per atom. As for the crystal system: tetragonal. The total magnetization is 0.000 Bohr magnetons per cell.

CIF file:
```
data_NiMoH2
_cell_length_a 3.9502
_cell_length_b 3.9502
_cell_length_c 8.1425
_cell_angle_alpha 90.00
_cell_angle_beta 90.00
_cell_angle_gamma 90.00
_symmetry_space_group_name_H-M 'I -4 2 d'
_symmetry_Int_Tables_number 122
_symmetry_space_group_name_Hall 'I -4 2bw'
loop_
_atom_site_label
_atom_site_type_symbol
_atom_site_fract_x
_atom_site_fract_y
_atom_site_fract_z
Ni1 Ni 0.0000 0.0000 0.0000
Mo1 Mo 0.0000 0.0000 0.5000
H1 H 0.1970 0.2500 0.1250
```


(2)
Density functional theory data (GGA-PBEsol) for RbNi2Br after structural relaxation.

Values from the calculation:
The calculation puts the energy at -2.826 eV per atom. As for the crystal system: cubic. The total magnetization is 1.060 Bohr magnetons per cell. The value obtained for the formation energy without anion corrections is 0.976 eV/atom.

CIF file:
```
data_RbNi2Br
_cell_length_a 6.5795
_cell_length_b 6.5795
_cell_length_c 6.5795
_cell_angle_alpha 90.00
_cell_angle_beta 90.00
_cell_angle_gamma 90.00
_symmetry_space_group_name_H-M 'F m -3 m'
_symmetry_Int_Tables_number 225
_symmetry_space_group_name_Hall '-F 4 2 3'
loop_
_atom_site_label
_atom_site_type_symbol
_atom_site_fract_x
_atom_site_fract_y
_atom_site_fract_z
Rb1 Rb 0.0000 0.0000 0.0000
Ni1 Ni 0.2500 0.2500 0.2500
Br1 Br 0.0000 0.0000 0.5000
```


(3)
Density functional theory data (GGA-PBEsol) for LiTePO5 after structural relaxation.

Values from the calculation:
The calculation puts the energy at -6.490 eV per atom. As for the crystal system: orthorhombic. The total magnetization is 0.000 Bohr magnetons per cell. The value obtained for the formation energy without anion corrections is -1.799 eV/atom.

CIF file:
```
data_LiTePO5
_cell_length_a 8.7837
_cell_length_b 6.7383
_cell_length_c 7.1372
_cell_angle_alpha 90.00
_cell_angle_beta 90.00
_cell_angle_gamma 90.00
_symmetry_space_group_name_H-M 'P n m a'
_symmetry_Int_Tables_number 62
loop_
_symmetry_equiv_pos_as_xyz
'x,y,z'
'-x,-y,-z'
'-x+1/2,-y,z+1/2'
'x+1/2,y,-z+1/2'
'x+1/2,-y+1/2,-z+1/2'
'-x+1/2,y+1/2,z+1/2'
'-x,y+1/2,-z'
'x,-y+1/2,z'
loop_
_atom_site_label
_atom_site_type_symbol
_atom_site_fract_x
_atom_site_fract_y
_atom_site_fract_z
Li1 Li 0.0000 0.0000 0.0000
Te1 Te 0.1473 0.2500 0.2804
P1 P 0.1262 0.7500 0.3622
O1 O 0.0290 0.2500 0.5357
O2 O 0.0327 0.7500 0.8541
O3 O 0.1330 0.5674 0.2298
O4 O 0.2355 0.2500 0.9941
```


(4)
Density functional theory data (GGA-PBEsol) for PdAuF2 after structural relaxation.

Values from the calculation:
The calculation puts the energy at -3.991 eV per atom. As for the crystal system: trigonal. The total magnetization is 0.003 Bohr magnetons per cell. The value obtained for the formation energy without anion corrections is -0.556 eV/atom.

CIF file:
```
data_PdAuF2
_cell_length_a 2.7737
_cell_length_b 2.7737
_cell_length_c 23.9885
_cell_angle_alpha 90.00
_cell_angle_beta 90.00
_cell_angle_gamma 120.00
_symmetry_space_group_name_H-M 'R -3 m'
_symmetry_Int_Tables_number 166
_symmetry_space_group_name_Hall '-R 3 2"'
loop_
_atom_site_label
_atom_site_type_symbol
_atom_site_fract_x
_atom_site_fract_y
_atom_site_fract_z
Pd1 Pd 0.0000 0.0000 0.0000
Au1 Au 0.0000 0.0000 0.5000
F1 F 0.0000 0.0000 0.0807
```